The following is a DFT calculation (GGA-PBE) of a geometry-optimized Pm2PuTl3 structure.

Geometry as extended XYZ:
```
6
Lattice="-1.653 2.576 -1.718 -1.014 -2.291 -2.459 -11.494 -2.599 7.162" Properties=species:S:1:pos:R:3 pbc="T T T"
Pm -10.921 -2.026 3.885
Pm -3.240 -0.289 -0.900
Pu -7.080 -1.157 1.493
Tl 0.000 0.000 0.000
Tl -7.658 -1.732 4.771
Tl -3.836 -0.868 2.390
```

Properties
E_form = -0.248 eV/atom
calculated density = 11.2 Mg/m³
DOS(E_F) = 11.32 states/eV/f.u.
magnetic moment = 0.99 μB/atom
crystal system = tetragonal
symmetry = P4/mmm (123)



The following is a DFT calculation (GGA-PBE) of a geometry-optimized CaAlCuP2 structure.

Geometry as extended XYZ:
```
5
Lattice="5.184 0.000 0.000 0.000 5.112 0.000 0.000 0.000 5.184" Properties=species:S:1:pos:R:3 pbc="T T T"
P 0.000 0.000 2.592
P 2.592 0.000 0.000
Ca 0.000 0.000 0.000
Al 2.592 2.556 2.592
Cu 0.000 2.556 0.000
```

Properties
E_form = 1.129 eV/atom
calculated density = 2.3 Mg/m³
DOS(E_F) = 4.61 states/eV/f.u.
magnetic moment = 0.00 μB/atom
crystal system = tetragonal
symmetry = P4/mmm (123)



Q: What is the E_form in the first record?
A: -0.248 eV/atom



Q: The highest calculated density belongs to which entry?
A: Pm2PuTl3